Density functional theory data (PBE) for B2C after structural relaxation.

abc: 4.6261 4.6261 8.8139
angles: 117.92 117.92 33.59
With the nearest neighbours (Å) after each atom.
Sites, in units of the cell vectors:
B 0.0000 0.0000 0.0000  1 C 1.70, 5 B 1.74-1.81
B 0.9998 0.9998 0.4824  3 C 1.53-1.58
B 0.2171 0.2171 0.0553  1 C 1.64, 4 B 1.73-1.83
B 0.2975 0.2975 0.5785  2 C 1.65-1.66
B 0.4250 0.4250 0.0833  4 B 1.68-1.80, 1 C 1.78
B 0.5370 0.5370 0.7430  3 C 1.55-1.58
B 0.6359 0.6359 0.1387  1 C 1.56, 1 B 1.68
B 0.8662 0.8662 0.7471  1 C 1.56
C 0.0677 0.0677 0.8499  5 B 1.56-1.70
C 0.1145 0.1145 0.3909  2 C 1.55, 2 B 1.58-1.66
C 0.4646 0.4646 0.5436  4 B 1.53-1.65
C 0.6049 0.6049 0.2984  2 C 1.55, 1 B 1.56

Energy of formation ... 0.336 eV/atom
ΔE to the lowest computed polymorph ... 150 meV per atom

=====

Density functional theory data (PBE) for Ac3Sm2Mg2Tl4 after structural relaxation.

abc: 5.2015 5.2015 15.8955
angles: 90.00 90.00 120.00
With the nearest neighbours (Å) after each atom.
Sites, in units of the cell vectors:
Ac 0.0000 0.0000 0.0000  6 Tl 3.59, 6 Mg 3.63
Ac 0.0000 0.0000 0.2573  6 Tl 3.46-3.68, 3 Mg 3.63
Ac 0.0000 0.0000 0.7427  6 Tl 3.46-3.68, 3 Mg 3.63
Sm 0.3333 0.6667 0.5687  4 Tl 3.18-3.24
Sm 0.6667 0.3333 0.4313  4 Tl 3.18-3.24
Mg 0.3333 0.6667 0.1286  3 Tl 3.00
Mg 0.6667 0.3333 0.8714  3 Tl 3.00
Tl 0.3333 0.6667 0.3651  4 Sm 3.18-3.24, 3 Ac 3.46
Tl 0.3333 0.6667 0.8762  3 Mg 3.00
Tl 0.6667 0.3333 0.1238  3 Mg 3.00
Tl 0.6667 0.3333 0.6349  4 Sm 3.18-3.24, 3 Ac 3.46

Energy of formation ... -0.204 eV/atom

=====

Density functional theory data (PBE) for FeAsIr after structural relaxation.

abc: 4.9743 4.9743 5.1600
angles: 110.32 110.32 44.51
With the nearest neighbours (Å) after each atom.
Sites, in units of the cell vectors:
Fe 0.1341 0.1341 0.1625  3 As 2.39-2.43, 1 Fe 2.41, 4 Ir 2.57-2.62
Fe 0.8659 0.8659 0.8375  3 As 2.39-2.43, 1 Fe 2.41, 4 Ir 2.57-2.62
As 0.1896 0.1896 0.6542  3 Fe 2.39-2.43, 2 Ir 2.52
As 0.8104 0.8104 0.3458  3 Fe 2.39-2.43, 2 Ir 2.52
Ir 0.4460 0.4460 0.2037  2 As 2.52, 5 Fe 2.57-2.80, 1 Ir 2.64
Ir 0.5540 0.5540 0.7963  2 As 2.52, 5 Fe 2.57-2.80, 1 Ir 2.64

Energy of formation ... 0.040 eV/atom

=====

Density functional theory data (PBE) for Pm8Te4Ir3Rh after structural relaxation.

abc: 8.8931 8.8931 8.8931
angles: 56.56 56.56 56.56
With the nearest neighbours (Å) after each atom.
Sites, in units of the cell vectors:
Pm 0.2354 0.7376 0.7376  2 Ir 2.89, 1 Rh 2.90
Pm 0.2367 0.2367 0.2367  3 Ir 2.89
Pm 0.2624 0.2624 0.7646  2 Ir 2.89, 1 Rh 2.90
Pm 0.2624 0.7646 0.2624  2 Ir 2.89, 1 Rh 2.90
Pm 0.7376 0.2354 0.7376  2 Ir 2.89, 1 Rh 2.90
Pm 0.7376 0.7376 0.2354  2 Ir 2.89, 1 Rh 2.90
Pm 0.7633 0.7633 0.7633  3 Ir 2.89
Pm 0.7646 0.2624 0.2624  2 Ir 2.89, 1 Rh 2.90
Te 0.0000 0.0000 0.0000  6 Pm 3.24
Te 0.0000 0.5000 0.5000  6 Pm 3.25
Te 0.5000 0.0000 0.5000  6 Pm 3.25
Te 0.5000 0.5000 0.0000  6 Pm 3.25
Ir 0.0000 0.0000 0.5000  6 Pm 2.89
Ir 0.0000 0.5000 0.0000  6 Pm 2.89
Ir 0.5000 0.0000 0.0000  6 Pm 2.89
Rh 0.5000 0.5000 0.5000  6 Pm 2.90

ΔE_f (raw) ... -1566.2 kJ/mol of formula units

=====

Density functional theory data (PBE) for Mg3Ag2Sn after structural relaxation.

abc: 3.3507 3.3507 10.8749
angles: 90.00 90.00 90.00
With the nearest neighbours (Å) after each atom.
Sites, in units of the cell vectors:
Mg 0.0000 0.0000 0.0000  8 Ag 2.87
Mg 0.0000 0.0000 0.3025  4 Ag 2.90, 4 Sn 3.20
Mg 0.0000 0.0000 0.6975  4 Ag 2.90, 4 Sn 3.20
Ag 0.5000 0.5000 0.1494  8 Mg 2.87-2.90
Ag 0.5000 0.5000 0.8506  8 Mg 2.87-2.90
Sn 0.5000 0.5000 0.5000  8 Mg 3.20, 4 Sn 3.35

Energy of formation ... -0.195 eV/atom

=====

Density functional theory data (PBE) for SrIrPt2 after structural relaxation.

abc: 5.0216 5.0216 2.8993
angles: 90.00 90.00 90.00
With the nearest neighbours (Å) after each atom.
Sites, in units of the cell vectors:
Sr 0.0000 0.0000 0.0000  8 Pt 2.90, 2 Sr 2.90
Ir 0.5000 0.5000 0.0000  8 Pt 2.90, 2 Ir 2.90
Pt 0.0000 0.5000 0.5000  4 Sr 2.90, 4 Ir 2.90, 2 Pt 2.90
Pt 0.5000 0.0000 0.5000  4 Sr 2.90, 4 Ir 2.90, 2 Pt 2.90

Energy of formation ... -0.048 eV/atom
ΔE to the lowest computed polymorph ... 48 meV per atom

=====

Density functional theory data (PBE) for Si2SbRu after structural relaxation.

abc: 3.0751 3.0751 7.4266
angles: 90.00 90.00 90.00
With the nearest neighbours (Å) after each atom.
Sites, in units of the cell vectors:
Si 0.0000 0.0000 0.0000  4 Si 2.61, 1 Ru 2.67
Si 0.5000 0.5000 0.1939  4 Ru 2.50, 4 Si 2.61
Sb 0.5000 0.5000 0.6256  4 Ru 2.94, 4 Sb 3.08, 1 Si 3.21
Ru 0.0000 0.0000 0.3591  5 Si 2.50-2.67

ΔE_f (raw) ... 16.5 kJ/mol of formula units

=====

Density functional theory data (PBE) for RbV2Si after structural relaxation.

abc: 9.6635 9.6635 9.6635
angles: 152.06 152.06 39.93
With the nearest neighbours (Å) after each atom.
Sites, in units of the cell vectors:
Rb 0.3750 0.6250 0.7500  4 Si 3.30, 8 V 3.46
Rb 0.6250 0.3750 0.2500  4 Si 3.30, 8 V 3.46
V 0.0000 0.0000 0.0000  2 V 2.33, 2 Si 2.55
V 0.0000 0.0000 0.5000  2 V 2.33, 2 Si 2.55
V 0.0000 0.5000 0.0000  2 V 2.33, 2 Si 2.55
V 0.5000 0.0000 0.5000  2 V 2.33, 2 Si 2.55
Si 0.1250 0.8750 0.2500  4 V 2.55
Si 0.8750 0.1250 0.7500  4 V 2.55

ΔE to the lowest computed polymorph ... 0 meV per atom
ΔE_f (raw) ... 430.7 kJ/mol of formula units

=====

DOS at the Fermi energy / states/eV per cell: 1.1; 11.4; 3.9; 9.7; 1.3; 3.2; 2.4; 9.9